VASP calculation (PBEsol) on a geometry-optimized BiBSN2 structure.

Properties
The density of states at the Fermi level is 2.44 states/eV/cell. Its uncorrected formation energy is 12.0 eV/f.u.

Lattice parameters (Å, degrees): 4.3005 4.3005 5.2788 90.00 90.00 90.00
Space group P4/mmm (No. 123)
One atom of each set of equivalent atoms:
Bi 0.0000 0.0000 0.0000 [1 per cell]
B 0.5000 0.5000 0.5000 [1 per cell]
S 0.0000 0.0000 0.5000 [1 per cell]
N 0.0000 0.5000 0.0000 [2 per cell]

VASP calculation (PBEsol) on a geometry-optimized Tl2InAu structure.

Properties
The density of states at the Fermi level is 4.77 states/eV/cell. For the polymorph energy (0 for the lowest one), the calculation gives 0.024 eV per atom.

Lattice parameters (Å, degrees): 3.5903 3.5903 27.2527 90.00 90.00 120.00
Space group R3m (No. 160, hexagonal axes)
One atom of each set of equivalent atoms:
Tl 0.0000 0.0000 0.0000 [3 per cell]
Tl 0.0000 0.0000 0.2359 [3 per cell]
In 0.0000 0.0000 0.4768 [3 per cell]
Au 0.0000 0.0000 0.7426 [3 per cell]

VASP calculation (PBEsol) on a geometry-optimized Y5Hg structure.

Properties
The density of states at the Fermi level is 7.97 states/eV/cell. For the polymorph energy (0 for the lowest one), the calculation gives 0.678 eV per atom.

Lattice parameters (Å, degrees): 6.2324 6.2324 5.6805 90.00 90.00 120.00
Space group P6/mmm (No. 191)
One atom of each set of equivalent atoms:
Y 0.0000 0.5000 0.0000 [3 per cell]
Y 0.3333 0.6667 0.5000 [2 per cell]
Hg 0.0000 0.0000 0.5000 [1 per cell]

VASP calculation (PBEsol) on a geometry-optimized La2ScTeRh structure.

Properties
The density of states at the Fermi level is 6.52 states/eV/cell. Its uncorrected formation energy is 0.1 eV/f.u.

Lattice parameters (Å, degrees): 5.6901 5.6901 4.4699 90.00 90.00 90.00
Space group P4/mmm (No. 123)
One atom of each set of equivalent atoms:
La 0.0000 0.5000 0.0000 [2 per cell]
Sc 0.0000 0.0000 0.0000 [1 per cell]
Te 0.5000 0.5000 0.5000 [1 per cell]
Rh 0.0000 0.0000 0.5000 [1 per cell]

VASP calculation (PBEsol) on a geometry-optimized ScTlAg2 structure.

Properties
The density of states at the Fermi level is 8.90 states/eV/cell. As for the calculated total energy: -47.066 eV/cell.

Lattice parameters (Å, degrees): 3.1971 3.1971 28.0160 90.00 90.00 120.00
Space group R-3m (No. 166, hexagonal axes)
One atom of each set of equivalent atoms:
Sc 0.0000 0.0000 0.0000 [3 per cell]
Tl 0.0000 0.0000 0.5000 [3 per cell]
Ag 0.0000 0.0000 0.2543 [6 per cell]

VASP calculation (PBEsol) on a geometry-optimized BeOs2 structure.

Properties
The density of states at the Fermi level is 8.04 states/eV/cell. As for the calculated total energy: -113.540 eV/cell.

Lattice parameters (Å, degrees): 8.8570 2.7272 6.5543 90.00 113.04 90.00
Space group C2/m (No. 12)
One atom of each set of equivalent atoms:
Be 0.1900 0.0000 0.0900 [4 per cell]
Os 0.0048 0.5000 0.2087 [4 per cell]
Os 0.1562 0.0000 0.5780 [4 per cell]

VASP calculation (PBEsol) on a geometry-optimized SrMg2Au2 structure.

Properties
The density of states at the Fermi level is 4.74 states/eV/cell. As for the calculated total energy: -32.365 eV/cell.

Lattice parameters (Å, degrees): 4.3366 4.3366 12.3413 90.00 90.00 90.00
Space group I4/mmm (No. 139)
One atom of each set of equivalent atoms:
Sr 0.0000 0.0000 0.0000 [2 per cell]
Mg 0.0000 0.5000 0.2500 [4 per cell]
Au 0.0000 0.0000 0.3870 [4 per cell]

VASP calculation (PBEsol) on a geometry-optimized Ba2HfPd structure.

Properties
The density of states at the Fermi level is 20.29 states/eV/cell. As for the calculated total energy: -73.162 eV/cell.

Lattice parameters (Å, degrees): 7.8111 7.8111 7.8111 90.00 90.00 90.00
Space group Fm-3m (No. 225)
One atom of each set of equivalent atoms:
Ba 0.2500 0.2500 0.2500 [8 per cell]
Hf 0.0000 0.0000 0.0000 [4 per cell]
Pd 0.0000 0.0000 0.5000 [4 per cell]

VASP calculation (PBEsol) on a geometry-optimized CaMg2Ta structure.

Properties
The density of states at the Fermi level is 7.80 states/eV/cell. As for the calculated total energy: -31.696 eV/cell.

Lattice parameters (Å, degrees): 3.1055 5.3849 11.0931 90.00 90.00 90.00
Space group Immm (No. 71)
One atom of each set of equivalent atoms:
Ca 0.0000 0.0000 0.0000 [2 per cell]
Mg 0.0000 0.5000 0.2274 [4 per cell]
Ta 0.0000 0.0000 0.5000 [2 per cell]

VASP calculation (PBEsol) on a geometry-optimized Cu2RePbI structure.

Properties
The density of states at the Fermi level is 4.31 states/eV/cell. Its uncorrected formation energy is 8.4 eV/f.u.

Lattice parameters (Å, degrees): 4.7847 4.7847 5.0181 90.00 90.00 90.00
Space group P4/mmm (No. 123)
One atom of each set of equivalent atoms:
Cu 0.0000 0.5000 0.0000 [2 per cell]
Re 0.0000 0.0000 0.5000 [1 per cell]
Pb 0.5000 0.5000 0.5000 [1 per cell]
I 0.0000 0.0000 0.0000 [1 per cell]

VASP calculation (PBEsol) on a geometry-optimized TiNbRu2C structure.

Properties
The density of states at the Fermi level is 6.17 states/eV/cell. As for the calculated total energy: -35.375 eV/cell.

Lattice parameters (Å, degrees): 4.5766 4.5766 4.7463 90.00 90.00 90.00
Space group P4/mmm (No. 123)
One atom of each set of equivalent atoms:
Ti 0.0000 0.0000 0.0000 [1 per cell]
Nb 0.0000 0.0000 0.5000 [1 per cell]
Ru 0.0000 0.5000 0.5000 [2 per cell]
C 0.5000 0.5000 0.0000 [1 per cell]

VASP calculation (PBEsol) on a geometry-optimized RbB3Pt structure.

Properties
The density of states at the Fermi level is 3.60 states/eV/cell. For the polymorph energy (0 for the lowest one), the calculation gives 2.569 eV per atom.

Lattice parameters (Å, degrees): 4.2156 4.2156 4.2156 90.00 90.00 90.00
Space group Pm-3m (No. 221)
One atom of each set of equivalent atoms:
Rb 0.0000 0.0000 0.0000 [1 per cell]
B 0.0000 0.0000 0.5000 [3 per cell]
Pt 0.5000 0.5000 0.5000 [1 per cell]

VASP calculation (PBEsol) on a geometry-optimized Zn2CrMo structure.

Properties
The density of states at the Fermi level is 6.19 states/eV/cell. For the polymorph energy (0 for the lowest one), the calculation gives 0.046 eV per atom.

Lattice parameters (Å, degrees): 3.7584 3.7584 7.5039 90.00 90.00 90.00
Space group I-4m2 (No. 119)
One atom of each set of equivalent atoms:
Zn 0.0000 0.0000 0.0000 [2 per cell]
Zn 0.0000 0.5000 0.2500 [2 per cell]
Cr 0.0000 0.0000 0.5000 [2 per cell]
Mo 0.0000 0.5000 0.7500 [2 per cell]

VASP calculation (PBEsol) on a geometry-optimized RuPt2W structure.

Properties
The density of states at the Fermi level is 7.42 states/eV/cell. For the polymorph energy (0 for the lowest one), the calculation gives 0.000 eV per atom.

Lattice parameters (Å, degrees): 3.9020 3.9020 7.6621 90.00 90.00 90.00
Space group I-4m2 (No. 119)
One atom of each set of equivalent atoms:
Ru 0.0000 0.0000 0.0000 [2 per cell]
Pt 0.0000 0.0000 0.5000 [2 per cell]
Pt 0.0000 0.5000 0.2500 [2 per cell]
W 0.0000 0.5000 0.7500 [2 per cell]

VASP calculation (PBEsol) on a geometry-optimized LiCrW4 structure.

Properties
The density of states at the Fermi level is 19.94 states/eV/cell. As for the calculated total energy: -250.989 eV/cell.

Lattice parameters (Å, degrees): 7.3123 7.3123 7.3123 90.00 90.00 90.00
Space group F-43m (No. 216)
One atom of each set of equivalent atoms:
Li 0.0000 0.0000 0.0000 [4 per cell]
Cr 0.2500 0.2500 0.2500 [4 per cell]
W 0.1258 0.1258 0.6258 [16 per cell]

VASP calculation (PBEsol) on a geometry-optimized BaYIr2 structure.

Properties
The density of states at the Fermi level is 1.72 states/eV/cell. For the polymorph energy (0 for the lowest one), the calculation gives 0.000 eV per atom.

Lattice parameters (Å, degrees): 3.3678 3.3678 7.7485 90.00 90.00 90.00
Space group P4/mmm (No. 123)
One atom of each set of equivalent atoms:
Ba 0.0000 0.0000 0.0000 [1 per cell]
Y 0.0000 0.0000 0.5000 [1 per cell]
Ir 0.5000 0.5000 0.2906 [2 per cell]

VASP calculation (PBEsol) on a geometry-optimized Hf2AgCl structure.

Properties
The density of states at the Fermi level is 7.64 states/eV/cell. Its uncorrected formation energy is -0.3 eV/f.u.

Lattice parameters (Å, degrees): 6.6394 6.6394 6.6394 90.00 90.00 90.00
Space group Fm-3m (No. 225)
One atom of each set of equivalent atoms:
Hf 0.2500 0.2500 0.2500 [8 per cell]
Ag 0.0000 0.0000 0.0000 [4 per cell]
Cl 0.0000 0.0000 0.5000 [4 per cell]

VASP calculation (PBEsol) on a geometry-optimized In3Pb structure.

Properties
The density of states at the Fermi level is 4.15 states/eV/cell. As for the calculated total energy: -25.705 eV/cell.

Lattice parameters (Å, degrees): 6.7262 6.7262 5.4176 90.00 90.00 120.00
Space group P6_3/mmc (No. 194)
One atom of each set of equivalent atoms:
In 0.1645 0.3290 0.2500 [6 per cell]
Pb 0.3333 0.6667 0.7500 [2 per cell]

VASP calculation (PBEsol) on a geometry-optimized SrBAs2 structure.

Properties
The density of states at the Fermi level is 6.88 states/eV/cell. As for the calculated total energy: -81.448 eV/cell.

Lattice parameters (Å, degrees): 6.7792 6.7792 6.9608 90.00 90.00 90.00
Space group I-42d (No. 122)
One atom of each set of equivalent atoms:
Sr 0.0000 0.0000 0.0000 [4 per cell]
B 0.0000 0.0000 0.5000 [4 per cell]
As 0.1401 0.2500 0.6250 [8 per cell]

VASP calculation (PBEsol) on a geometry-optimized CrIrCl structure.

Properties
The density of states at the Fermi level is 2.80 states/eV/cell. For the polymorph energy (0 for the lowest one), the calculation gives 0.000 eV per atom. Its uncorrected formation energy is 0.2 eV/f.u.

Lattice parameters (Å, degrees): 2.7701 2.7701 6.5214 90.00 90.00 120.00
Space group P3m1 (No. 156)
One atom of each set of equivalent atoms:
Cr 0.0000 0.0000 0.0000 [1 per cell]
Ir 0.3333 0.6667 0.7010 [1 per cell]
Cl 0.6667 0.3333 0.2510 [1 per cell]

VASP calculation (PBEsol) on a geometry-optimized BaMgBe structure.

Properties
The density of states at the Fermi level is 15.97 states/eV/cell. For the polymorph energy (0 for the lowest one), the calculation gives 0.120 eV per atom.

Lattice parameters (Å, degrees): 7.1537 7.1537 7.1537 90.00 90.00 90.00
Space group F-43m (No. 216)
One atom of each set of equivalent atoms:
Ba 0.0000 0.0000 0.0000 [4 per cell]
Mg 0.0000 0.0000 0.5000 [4 per cell]
Be 0.2500 0.2500 0.2500 [4 per cell]

VASP calculation (PBEsol) on a geometry-optimized CaZrW structure.

Properties
The density of states at the Fermi level is 3.28 states/eV/cell. For the polymorph energy (0 for the lowest one), the calculation gives 0.000 eV per atom.

Lattice parameters (Å, degrees): 5.1290 5.1290 2.6803 90.00 90.00 120.00
Space group P3m1 (No. 156)
One atom of each set of equivalent atoms:
Ca 0.0000 0.0000 0.0000 [1 per cell]
Zr 0.6667 0.3333 0.0258 [1 per cell]
W 0.3333 0.6667 0.5130 [1 per cell]

VASP calculation (PBEsol) on a geometry-optimized Al8Cr5 structure.

Properties
The density of states at the Fermi level is 70.91 states/eV/cell. As for the calculated total energy: -506.560 eV/cell.

Lattice parameters (Å, degrees): 12.6254 12.6254 7.7852 90.00 90.00 120.00
Space group R3m (No. 160, hexagonal axes)
One atom of each set of equivalent atoms:
Al 0.0000 0.0000 0.0000 [3 per cell]
Al 0.0476 0.3366 0.3681 [18 per cell]
Al 0.0742 0.1484 0.2768 [9 per cell]
Al 0.0933 0.5466 0.6023 [9 per cell]
Al 0.2151 0.4302 0.7421 [9 per cell]
Cr 0.0000 0.0000 0.5258 [3 per cell]
Cr 0.1108 0.2217 0.5949 [9 per cell]
Cr 0.1458 0.0729 0.7588 [9 per cell]
Cr 0.2215 0.4430 0.1197 [9 per cell]

VASP calculation (PBEsol) on a geometry-optimized MgZrW3 structure.

Properties
The density of states at the Fermi level is 6.25 states/eV/cell. As for the calculated total energy: -41.371 eV/cell.

Lattice parameters (Å, degrees): 4.5682 4.5682 4.5682 90.00 90.00 90.00
Space group Pm-3m (No. 221)
One atom of each set of equivalent atoms:
Mg 0.0000 0.0000 0.0000 [1 per cell]
Zr 0.5000 0.5000 0.5000 [1 per cell]
W 0.0000 0.0000 0.5000 [3 per cell]

VASP calculation (PBEsol) on a geometry-optimized Be2Nb2Ni structure.

Properties
The density of states at the Fermi level is 6.34 states/eV/cell. As for the calculated total energy: -73.523 eV/cell.

Lattice parameters (Å, degrees): 5.8557 5.8557 3.6103 90.00 90.00 90.00
Space group P4/mbm (No. 127)
One atom of each set of equivalent atoms:
Be 0.1299 0.3701 0.0000 [4 per cell]
Nb 0.1731 0.6731 0.5000 [4 per cell]
Ni 0.0000 0.0000 0.0000 [2 per cell]

VASP calculation (PBEsol) on a geometry-optimized YZrMn2Cu structure.

Properties
The density of states at the Fermi level is 5.78 states/eV/cell. As for the calculated total energy: -36.319 eV/cell.

Lattice parameters (Å, degrees): 4.6347 4.6347 4.7849 90.00 90.00 90.00
Space group P4/mmm (No. 123)
One atom of each set of equivalent atoms:
Y 0.0000 0.0000 0.0000 [1 per cell]
Zr 0.5000 0.5000 0.0000 [1 per cell]
Mn 0.0000 0.5000 0.5000 [2 per cell]
Cu 0.5000 0.5000 0.5000 [1 per cell]

VASP calculation (PBEsol) on a geometry-optimized In2AuSe structure.

Properties
The density of states at the Fermi level is 3.64 states/eV/cell. Its uncorrected formation energy is -1.3 eV/f.u.

Lattice parameters (Å, degrees): 3.8371 3.8371 21.3516 90.00 90.00 120.00
Space group R-3m (No. 166, hexagonal axes)
One atom of each set of equivalent atoms:
In 0.0000 0.0000 0.2474 [6 per cell]
Au 0.0000 0.0000 0.5000 [3 per cell]
Se 0.0000 0.0000 0.0000 [3 per cell]

VASP calculation (PBEsol) on a geometry-optimized Ga3IF structure.

Properties
The density of states at the Fermi level is 3.03 states/eV/cell. For the polymorph energy (0 for the lowest one), the calculation gives 0.804 eV per atom. Its uncorrected formation energy is 1.9 eV/f.u.

Lattice parameters (Å, degrees): 5.9639 5.9639 5.9639 90.00 90.00 90.00
Space group Pm-3m (No. 221)
One atom of each set of equivalent atoms:
Ga 0.0000 0.0000 0.5000 [3 per cell]
I 0.0000 0.0000 0.0000 [1 per cell]
F 0.5000 0.5000 0.5000 [1 per cell]